{
  "formula": "Al2SnS",
  "functional": "PBE",
  "state": "optimized geometry",
  "lattice": [[0.000, 3.396, 3.396], [3.396, 0.000, 3.396], [3.396, 3.396, 0.000]],
  "species": ["S", "Sn", "Al", "Al"],
  "fractional_positions": [[0.000, 0.000, 0.000], [0.500, 0.500, 0.500], [0.250, 0.250, 0.250], [0.750, 0.750, 0.750]],
  "energy_ev_per_cell": -14.8,
  "n_ef_per_ev_cell": 1.80,
  "volume_a3_per_cell": 78.3,
  "de_polymorph_ev_per_atom": 0.473,
  "e_form_raw_kj_per_mol_fu": 79,
  "space_group": "No. 225"
}